! Na3TlSe3 | Alexandria via LeMat-Bulk | PBE-GGA | relaxed; values from VASP
! Formation energy without anion corrections, meV/atom: -736
! Space group: C2/m
&SYSTEM
  ibrav = 0, nat = 14, ntyp = 3
/
ATOMIC_SPECIES
Na 22.99 Na.upf
Tl 204.38 Tl.upf
Se 78.96 Se.upf
ATOMIC_POSITIONS crystal
Na 0.1729 0.8271 0.0000
Na 0.2380 0.7620 0.5000
Na 0.4005 0.4005 0.1442
Na 0.5995 0.5995 0.8558
Na 0.7620 0.2380 0.5000
Na 0.8271 0.1729 0.0000
Tl 0.2083 0.2083 0.6196
Tl 0.7917 0.7917 0.3804
Se 0.0988 0.0988 0.2629
Se 0.1667 0.4928 0.7777
Se 0.4928 0.1667 0.7777
Se 0.5072 0.8333 0.2223
Se 0.8333 0.5072 0.2223
Se 0.9012 0.9012 0.7371
CELL_PARAMETERS angstrom
4.2250 -6.6173 0.0000
4.2250 6.6173 0.0000
-0.8601 0.0000 7.3397